This record from the Alexandria database describes a geometry-optimized Y5TeAs4 structure. The functional is GGA-PBE.

Structure (CIF):
```
data_Y5TeAs4
_space_group_name_H-M_alt 'I m m m'
_space_group_IT_number 71
_space_group_name_Hall '-I 2 2'
_cell_length_a 4.157
_cell_length_b 5.914
_cell_length_c 20.922
_cell_angle_alpha 90.00
_cell_angle_beta 90.00
_cell_angle_gamma 90.00
loop_
_atom_site_label
_atom_site_type_symbol
_atom_site_fract_x
_atom_site_fract_y
_atom_site_fract_z
Y1 Y 0.000 0.000 0.000
Y2 Y 0.000 0.000 0.198
Y3 Y 0.000 0.000 0.389
Te1 Te 0.000 0.500 0.000
As1 As 0.000 0.500 0.203
As2 As 0.000 0.500 0.401
```

Calculated values
The value obtained for the density of states at the Fermi level is 5.4 states/eV/cell. The calculation puts the uncorrected formation energy at -1.54 eV/atom. As for the magnetic moment: 0.00 μB per formula unit.

This record from the Alexandria database describes a geometry-optimized Ba2In12Cu7 structure. The functional is GGA-PBE.

Structure (CIF):
```
data_Ba2In12Cu7
_space_group_name_H-M_alt 'P -3'
_space_group_IT_number 147
_cell_length_a 11.0620
_cell_length_b 11.0620
_cell_length_c 4.5022
_cell_angle_alpha 90.00
_cell_angle_beta 90.00
_cell_angle_gamma 120.00
loop_
_space_group_symop_operation_xyz
'x,y,z'
'-x,-y,-z'
'-y,x-y,z'
'y,-x+y,-z'
'-x+y,-x,z'
'x-y,x,-z'
loop_
_atom_site_label
_atom_site_type_symbol
_atom_site_fract_x
_atom_site_fract_y
_atom_site_fract_z
Ba1 Ba 0.3333 0.6667 0.2568
In1 In 0.0591 0.4382 0.7500
In2 In 0.1189 0.2595 0.2493
Cu1 Cu 0.0000 0.0000 0.5000
Cu2 Cu 0.1107 0.7075 0.7554
```

Calculated values
The value obtained for the density of states at the Fermi level is 9.3 states/eV/cell. As for the total energy: -3.221 eV per atom. As for the magnetic moment: 0.00 μB per formula unit.

This record from the Alexandria database describes a geometry-optimized Li2LaTeSe structure. The functional is GGA-PBE.

Structure (CIF):
```
data_Li2LaTeSe
_space_group_name_H-M_alt 'P 4/m m m'
_space_group_IT_number 123
_space_group_name_Hall '-P 4 2'
_cell_length_a 6.439
_cell_length_b 6.439
_cell_length_c 5.791
_cell_angle_alpha 90.00
_cell_angle_beta 90.00
_cell_angle_gamma 90.00
loop_
_atom_site_label
_atom_site_type_symbol
_atom_site_fract_x
_atom_site_fract_y
_atom_site_fract_z
Li1 Li 0.000 0.500 0.000
La1 La 0.000 0.000 0.000
Te1 Te 0.000 0.000 0.500
Se1 Se 0.500 0.500 0.500
```

Calculated values
The value obtained for the density of states at the Fermi level is 9.9 states/eV/cell. The calculation puts the uncorrected formation energy at 0.51 eV/atom. As for the magnetic moment: 1.52 μB per formula unit.

This record from the Alexandria database describes a geometry-optimized InCoAsBr2 structure. The functional is GGA-PBE.

Structure (CIF):
```
data_InCoAsBr2
_space_group_name_H-M_alt 'P 4/m m m'
_space_group_IT_number 123
_space_group_name_Hall '-P 4 2'
_cell_length_a 5.337
_cell_length_b 5.337
_cell_length_c 4.402
_cell_angle_alpha 90.00
_cell_angle_beta 90.00
_cell_angle_gamma 90.00
loop_
_atom_site_label
_atom_site_type_symbol
_atom_site_fract_x
_atom_site_fract_y
_atom_site_fract_z
In1 In 0.000 0.000 0.000
Co1 Co 0.500 0.500 0.500
As1 As 0.500 0.500 0.000
Br1 Br 0.000 0.500 0.500
```

Calculated values
The value obtained for the density of states at the Fermi level is 1.9 states/eV/cell. As for the energy above the most stable polymorph in this dataset: 0 kJ/mol of formula units. The calculation puts the uncorrected formation energy at 0.01 eV/atom. As for the magnetic moment: 0.00 μB per formula unit.

This record from the Alexandria database describes a geometry-optimized K2AcDySe4 structure. The functional is GGA-PBE.

Structure (CIF):
```
data_K2AcDySe4
_space_group_name_H-M_alt 'P 1 2/m 1'
_space_group_IT_number 10
_cell_length_a 7.630
_cell_length_b 4.396
_cell_length_c 8.125
_cell_angle_alpha 90.00
_cell_angle_beta 108.17
_cell_angle_gamma 90.00
loop_
_space_group_symop_operation_xyz
'x,y,z'
'-x,-y,-z'
'-x,y,-z'
'x,-y,z'
loop_
_atom_site_label
_atom_site_type_symbol
_atom_site_fract_x
_atom_site_fract_y
_atom_site_fract_z
K1 K 0.000 0.000 0.000
K2 K 0.500 0.500 0.000
Ac1 Ac 0.000 0.500 0.500
Dy1 Dy 0.500 0.000 0.500
Se1 Se 0.256 0.000 0.715
Se2 Se 0.280 0.500 0.293
```

Calculated values
The value obtained for the density of states at the Fermi level is 0.0 states/eV/cell. The calculation puts the uncorrected formation energy at -1.77 eV/atom. As for the magnetic moment: 0.00 μB per formula unit.

This record from the Alexandria database describes a geometry-optimized Sr3TlO structure. The functional is GGA-PBE.

Structure (CIF):
```
data_Sr3TlO
_space_group_name_H-M_alt 'I -4 m 2'
_space_group_IT_number 119
_space_group_name_Hall 'I -4 -2'
_cell_length_a 7.238
_cell_length_b 7.238
_cell_length_c 13.118
_cell_angle_alpha 90.00
_cell_angle_beta 90.00
_cell_angle_gamma 90.00
loop_
_atom_site_label
_atom_site_type_symbol
_atom_site_fract_x
_atom_site_fract_y
_atom_site_fract_z
Sr1 Sr 0.000 0.000 0.137
Sr2 Sr 0.000 0.257 0.610
Tl1 Tl 0.000 0.500 0.128
O1 O 0.000 0.000 0.500
O2 O 0.000 0.500 0.750
```

Calculated values
The value obtained for the density of states at the Fermi level is 23.5 states/eV/cell. The calculation puts the uncorrected formation energy at -0.98 eV/atom. As for the magnetic moment: 0.00 μB per formula unit.

This record from the Alexandria database describes a geometry-optimized Hf2As2P structure. The functional is GGA-PBE.

Structure (CIF):
```
data_Hf2As2P
_space_group_name_H-M_alt 'P 4/m b m'
_space_group_IT_number 127
_space_group_name_Hall '-P 4 2ab'
_cell_length_a 7.168
_cell_length_b 7.168
_cell_length_c 3.659
_cell_angle_alpha 90.00
_cell_angle_beta 90.00
_cell_angle_gamma 90.00
loop_
_atom_site_label
_atom_site_type_symbol
_atom_site_fract_x
_atom_site_fract_y
_atom_site_fract_z
Hf1 Hf 0.163 0.337 0.000
As1 As 0.138 0.638 0.500
P1 P 0.000 0.000 0.000
```

Calculated values
The value obtained for the density of states at the Fermi level is 4.3 states/eV/cell. As for the total energy: -7.673 eV per atom. As for the magnetic moment: 0.00 μB per formula unit.

This record from the Alexandria database describes a geometry-optimized ZrSeBrN2 structure. The functional is GGA-PBE.

Structure (CIF):
```
data_ZrSeBrN2
_space_group_name_H-M_alt 'P 4/m m m'
_space_group_IT_number 123
_space_group_name_Hall '-P 4 2'
_cell_length_a 4.132
_cell_length_b 4.132
_cell_length_c 6.014
_cell_angle_alpha 90.00
_cell_angle_beta 90.00
_cell_angle_gamma 90.00
loop_
_atom_site_label
_atom_site_type_symbol
_atom_site_fract_x
_atom_site_fract_y
_atom_site_fract_z
Zr1 Zr 0.000 0.000 0.000
Se1 Se 0.000 0.000 0.500
Br1 Br 0.500 0.500 0.500
N1 N 0.000 0.500 0.000
```

Calculated values
The value obtained for the density of states at the Fermi level is 3.3 states/eV/cell. As for the energy above the most stable polymorph in this dataset: 0 kJ/mol of formula units. The calculation puts the uncorrected formation energy at 0.51 eV/atom. As for the magnetic moment: 0.00 μB per formula unit.

This record from the Alexandria database describes a geometry-optimized Pm4Ho5Tl structure. The functional is GGA-PBE.

Structure (CIF):
```
data_Pm4Ho5Tl
_space_group_name_H-M_alt 'I 4 m m'
_space_group_IT_number 107
_space_group_name_Hall 'I 4 -2'
_cell_length_a 10.720
_cell_length_b 10.720
_cell_length_c 5.820
_cell_angle_alpha 90.00
_cell_angle_beta 90.00
_cell_angle_gamma 90.00
loop_
_atom_site_label
_atom_site_type_symbol
_atom_site_fract_x
_atom_site_fract_y
_atom_site_fract_z
Pm1 Pm 0.000 0.313 0.000
Ho1 Ho 0.000 0.000 0.801
Ho2 Ho 0.185 0.185 0.507
Tl1 Tl 0.000 0.000 0.283
```

Calculated values
The value obtained for the density of states at the Fermi level is 28.9 states/eV/cell. As for the energy above the most stable polymorph in this dataset: 65 kJ/mol of formula units. As for the magnetic moment: 0.00 μB per formula unit.

This record from the Alexandria database describes a geometry-optimized LaSc2AlPt4 structure. The functional is GGA-PBE.

Structure (CIF):
```
data_LaSc2AlPt4
_space_group_name_H-M_alt 'R -3 m'
_space_group_IT_number 166
_space_group_name_Hall '-R 3 2"'
_cell_length_a 4.5281
_cell_length_b 4.5281
_cell_length_c 26.3336
_cell_angle_alpha 90.00
_cell_angle_beta 90.00
_cell_angle_gamma 120.00
loop_
_atom_site_label
_atom_site_type_symbol
_atom_site_fract_x
_atom_site_fract_y
_atom_site_fract_z
La1 La 0.0000 0.0000 0.0000
Sc1 Sc 0.0000 0.0000 0.2381
Al1 Al 0.0000 0.0000 0.5000
Pt1 Pt 0.0000 0.0000 0.1348
Pt2 Pt 0.0000 0.0000 0.4014
```

Calculated values
The value obtained for the density of states at the Fermi level is 15.1 states/eV/cell. As for the total energy: -6.845 eV per atom. As for the magnetic moment: 0.00 μB per formula unit.

This record from the Alexandria database describes a geometry-optimized Mg2AgSe structure. The functional is GGA-PBE.

Structure (CIF):
```
data_Mg2AgSe
_space_group_name_H-M_alt 'C 1 m 1'
_space_group_IT_number 8
_cell_length_a 11.812
_cell_length_b 3.831
_cell_length_c 3.738
_cell_angle_alpha 90.00
_cell_angle_beta 91.69
_cell_angle_gamma 90.00
loop_
_space_group_symop_operation_xyz
'x,y,z'
'x,-y,z'
'x+1/2,y+1/2,z'
'x+1/2,-y+1/2,z'
loop_
_atom_site_label
_atom_site_type_symbol
_atom_site_fract_x
_atom_site_fract_y
_atom_site_fract_z
Mg1 Mg 0.000 0.000 0.000
Mg2 Mg 0.177 0.500 0.511
Ag1 Ag 0.243 0.000 0.016
Se1 Se 0.445 0.000 0.495
```

Calculated values
The value obtained for the density of states at the Fermi level is 1.0 states/eV/cell. The calculation puts the uncorrected formation energy at -0.48 eV/atom. As for the magnetic moment: 0.00 μB per formula unit.

This record from the Alexandria database describes a geometry-optimized La6Ge2PCl3 structure. The functional is GGA-PBE.

Structure (CIF):
```
data_La6Ge2PCl3
_space_group_name_H-M_alt 'C 1 2/m 1'
_space_group_IT_number 12
_cell_length_a 7.503
_cell_length_b 13.010
_cell_length_c 7.386
_cell_angle_alpha 90.00
_cell_angle_beta 109.80
_cell_angle_gamma 90.00
loop_
_space_group_symop_operation_xyz
'x,y,z'
'-x,-y,-z'
'-x,y,-z'
'x,-y,z'
'x+1/2,y+1/2,z'
'-x+1/2,-y+1/2,-z'
'-x+1/2,y+1/2,-z'
'x+1/2,-y+1/2,z'
loop_
_atom_site_label
_atom_site_type_symbol
_atom_site_fract_x
_atom_site_fract_y
_atom_site_fract_z
La1 La 0.240 0.163 0.232
La2 La 0.249 0.000 0.768
Ge1 Ge 0.000 0.334 0.000
P1 P 0.000 0.000 0.000
Cl1 Cl 0.000 0.170 0.500
Cl2 Cl 0.000 0.500 0.500
```

Calculated values
The value obtained for the density of states at the Fermi level is 15.2 states/eV/cell. The calculation puts the uncorrected formation energy at -1.47 eV/atom. As for the magnetic moment: 0.00 μB per formula unit.

no.,ρ (Mg/m³)
1,5.63
2,7.30
3,2.49
4,5.41
5,5.02
6,4.67
7,9.50
8,4.50
9,7.99
10,11.04
11,4.63
12,5.46